Density functional theory data (PBE) for crystalline KAuBr4 at its relaxed geometry.

a b c (Å): 9.565 6.824 13.070
angles (deg): 90.00 97.79 90.00
Fractional positions:
K1 0.208 0.058 0.184
K2 0.208 0.442 0.684
K3 0.792 0.558 0.316
K4 0.792 0.942 0.816
Au1 0.000 0.000 0.500
Au2 0.000 0.500 0.000
Au3 0.500 0.000 0.500
Au4 0.500 0.500 0.000
Br1 0.089 0.559 0.185
Br2 0.089 0.941 0.685
Br3 0.131 0.707 0.453
Br4 0.131 0.793 0.953
Br5 0.339 0.237 0.926
Br6 0.339 0.263 0.426
Br7 0.499 0.646 0.826
Br8 0.499 0.854 0.326
Br9 0.501 0.146 0.674
Br10 0.501 0.354 0.174
Br11 0.661 0.737 0.574
Br12 0.661 0.763 0.074
Br13 0.869 0.207 0.047
Br14 0.869 0.293 0.547
Br15 0.911 0.059 0.315
Br16 0.911 0.441 0.815

DFT total energy ... -0.188 Ry per atom